{"formula": "Sc2TaB6", "functional": "PBE-GGA", "state": "relaxed", "dft_energy_ev_per_atom": -7.88, "vol_a3_per_atom": 10.12, "magmom_total_mub_per_atom": 0.000, "lattice_angstrom": [[9.177, 0.000, 0.000], [0.000, 11.377, 0.000], [0.000, 0.000, 3.489]], "species": ["Sc", "Sc", "Sc", "Sc", "Sc", "Sc", "Sc", "Sc", "Ta", "Ta", "Ta", "Ta", "B", "B", "B", "B", "B", "B", "B", "B", "B", "B", "B", "B", "B", "B", "B", "B", "B", "B", "B", "B", "B", "B", "B", "B"], "frac_coords": [[0.056, 0.129, 0.000], [0.176, 0.413, 0.000], [0.324, 0.913, 0.000], [0.444, 0.629, 0.000], [0.556, 0.371, 0.000], [0.676, 0.087, 0.000], [0.824, 0.587, 0.000], [0.944, 0.871, 0.000], [0.144, 0.680, 0.000], [0.356, 0.180, 0.000], [0.644, 0.820, 0.000], [0.856, 0.320, 0.000], [0.022, 0.288, 0.500], [0.054, 0.562, 0.500], [0.094, 0.974, 0.500], [0.131, 0.822, 0.500], [0.200, 0.240, 0.500], [0.242, 0.075, 0.500], [0.258, 0.575, 0.500], [0.300, 0.740, 0.500], [0.369, 0.322, 0.500], [0.406, 0.474, 0.500], [0.446, 0.062, 0.500], [0.478, 0.788, 0.500], [0.522, 0.212, 0.500], [0.554, 0.938, 0.500], [0.594, 0.526, 0.500], [0.631, 0.678, 0.500], [0.700, 0.260, 0.500], [0.742, 0.425, 0.500], [0.758, 0.925, 0.500], [0.800, 0.760, 0.500], [0.869, 0.178, 0.500], [0.906, 0.026, 0.500], [0.946, 0.438, 0.500], [0.978, 0.712, 0.500]]}